*one*
## SiH3F (GGA-PBE)

Data for SiH3F after structural relaxation.

Summary:
As for the symmetry: No. 14. The calculation puts the total moment at 0.0 μB per formula unit. The density of states at the Fermi level comes out at 0.000 states/eV per cell. As for the crystal system: monoclinic.

abc: 4.881 8.153 8.673
angles: 90.00 119.66 90.00
Fractional coordinates of all 20 atoms:
Si: 0.089 0.227 0.143
Si: 0.089 0.273 0.643
Si: 0.911 0.727 0.357
Si: 0.911 0.773 0.857
H: 0.176 0.096 0.668
H: 0.176 0.404 0.168
H: 0.232 0.698 0.386
H: 0.232 0.802 0.886
H: 0.333 0.124 0.286
H: 0.333 0.376 0.786
H: 0.667 0.624 0.214
H: 0.667 0.876 0.714
H: 0.768 0.198 0.114
H: 0.768 0.302 0.614
H: 0.824 0.596 0.832
H: 0.824 0.904 0.332
F: 0.081 0.173 0.958
F: 0.081 0.327 0.458
F: 0.919 0.673 0.542
F: 0.919 0.827 0.042



*two*
## SiH3F (GGA-PBE)

Data for SiH3F after structural relaxation.

Summary:
As for the symmetry: No. 221. The calculation puts the total moment at 0.0 μB per formula unit. The density of states at the Fermi level comes out at 1.644 states/eV per cell. As for the crystal system: cubic.

abc: 3.382 3.382 3.382
angles: 90.00 90.00 90.00
Fractional coordinates of all 5 atoms:
Si: 0.000 0.000 0.000
H: 0.000 0.500 0.500
H: 0.500 0.000 0.500
H: 0.500 0.500 0.000
F: 0.500 0.500 0.500



Order of stability, best first: *one*, *two*



*one*
## SiH6F12 (GGA-PBE)

Data for SiH6F12 after structural relaxation.

Summary:
As for the symmetry: No. 2. The calculation puts the total moment at 2.1 μB per formula unit. As for the crystal system: triclinic.

abc: 6.006 6.049 6.502
angles: 77.39 85.28 84.04
Fractional coordinates of all 19 atoms:
Si: 0.000 0.000 0.000
H: 0.166 0.142 0.330
H: 0.219 0.656 0.811
H: 0.287 0.230 0.727
H: 0.713 0.770 0.273
H: 0.781 0.344 0.189
H: 0.834 0.858 0.670
F: 0.004 0.801 0.833
F: 0.123 0.802 0.180
F: 0.264 0.077 0.890
F: 0.278 0.083 0.435
F: 0.305 0.362 0.587
F: 0.364 0.562 0.808
F: 0.636 0.438 0.192
F: 0.695 0.638 0.413
F: 0.722 0.917 0.565
F: 0.736 0.923 0.110
F: 0.877 0.198 0.820
F: 0.996 0.199 0.167



*two*
## SiH6F12 (GGA-PBE)

Data for SiH6F12 after structural relaxation.

Summary:
As for the symmetry: No. 148. The calculation puts the total moment at 2.1 μB per formula unit. The density of states at the Fermi level comes out at 12.288 states/eV per cell. As for the crystal system: trigonal.

abc: 5.959 5.959 5.959
angles: 91.35 91.35 91.35
Fractional coordinates of all 19 atoms:
Si: 0.000 0.000 0.000
H: 0.269 0.522 0.313
H: 0.313 0.269 0.522
H: 0.478 0.687 0.731
H: 0.522 0.313 0.269
H: 0.687 0.731 0.478
H: 0.731 0.478 0.687
F: 0.054 0.732 0.921
F: 0.079 0.946 0.268
F: 0.196 0.377 0.540
F: 0.268 0.079 0.946
F: 0.377 0.540 0.196
F: 0.460 0.804 0.623
F: 0.540 0.196 0.377
F: 0.623 0.460 0.804
F: 0.732 0.921 0.054
F: 0.804 0.623 0.460
F: 0.921 0.054 0.732
F: 0.946 0.268 0.079



Order of stability, best first: *one*, *two*



*one*
## SiHF3 (GGA-PBE)

Data for SiHF3 after structural relaxation.

Summary:
As for the symmetry: No. 221. The calculation puts the total moment at 1.0 μB per formula unit. The density of states at the Fermi level comes out at 0.638 states/eV per cell. As for the crystal system: cubic.

abc: 3.852 3.852 3.852
angles: 90.00 90.00 90.00
Fractional coordinates of all 5 atoms:
Si: 0.000 0.000 0.000
H: 0.500 0.500 0.500
F: 0.000 0.000 0.500
F: 0.000 0.500 0.000
F: 0.500 0.000 0.000



*two*
## SiHF3 (GGA-PBE)

Data for SiHF3 after structural relaxation.

Summary:
As for the symmetry: No. 221. The calculation puts the total moment at 0.0 μB per formula unit. The density of states at the Fermi level comes out at 0.000 states/eV per cell. As for the crystal system: cubic.

abc: 3.538 3.538 3.538
angles: 90.00 90.00 90.00
Fractional coordinates of all 5 atoms:
Si: 0.000 0.000 0.000
H: 0.500 0.500 0.500
F: 0.000 0.500 0.500
F: 0.500 0.000 0.500
F: 0.500 0.500 0.000



Order of stability, best first: *one*, *two*



*one*
## SmHF (GGA-PBE)

Data for SmHF after structural relaxation.

Summary:
As for the symmetry: No. 216. The calculation puts the total moment at 0.0 μB per formula unit. The density of states at the Fermi level comes out at 1.805 states/eV per cell. As for the crystal system: cubic.

abc: 3.938 3.938 3.938
angles: 60.00 60.00 60.00
Fractional coordinates of all 3 atoms:
Sm: 0.000 0.000 0.000
H: 0.750 0.750 0.750
F: 0.250 0.250 0.250



*two*
## SmHF (GGA-PBE)

Data for SmHF after structural relaxation.

Summary:
As for the symmetry: No. 47. The calculation puts the total moment at 0.1 μB per formula unit. The density of states at the Fermi level comes out at 1.338 states/eV per cell. As for the crystal system: orthorhombic.

abc: 3.234 3.600 3.744
angles: 90.00 90.00 90.00
Fractional coordinates of all 3 atoms:
Sm: 0.000 0.000 0.000
H: 0.500 0.500 0.000
F: 0.500 0.000 0.500



Order of stability, best first: *one*, *two*



*one*
## SmH2F6 (GGA-PBE)

Data for SmH2F6 after structural relaxation.

Summary:
As for the symmetry: No. 15. The calculation puts the total moment at 1.0 μB per formula unit. As for the crystal system: monoclinic.

abc: 6.432 6.432 7.208
angles: 99.79 99.79 121.48
Fractional coordinates of all 18 atoms:
Sm: 0.205 0.795 0.750
Sm: 0.795 0.205 0.250
H: 0.182 0.263 0.647
H: 0.263 0.182 0.147
H: 0.737 0.818 0.853
H: 0.818 0.737 0.353
F: 0.102 0.389 0.573
F: 0.162 0.246 0.205
F: 0.165 0.568 0.975
F: 0.246 0.162 0.705
F: 0.389 0.102 0.073
F: 0.432 0.835 0.525
F: 0.568 0.165 0.475
F: 0.611 0.898 0.927
F: 0.754 0.838 0.295
F: 0.835 0.432 0.025
F: 0.838 0.754 0.795
F: 0.898 0.611 0.427



*two*
## SmH2F6 (GGA-PBE)

Data for SmH2F6 after structural relaxation.

Summary:
As for the symmetry: No. 15. The calculation puts the total moment at 1.1 μB per formula unit. As for the crystal system: monoclinic.

abc: 6.139 6.139 5.804
angles: 107.56 107.56 85.27
Fractional coordinates of all 18 atoms:
Sm: 0.196 0.804 0.750
Sm: 0.804 0.196 0.250
H: 0.319 0.360 0.945
H: 0.360 0.319 0.445
H: 0.640 0.681 0.555
H: 0.681 0.640 0.055
F: 0.012 0.827 0.323
F: 0.171 0.402 0.447
F: 0.173 0.988 0.177
F: 0.257 0.533 0.960
F: 0.402 0.171 0.947
F: 0.467 0.743 0.540
F: 0.533 0.257 0.460
F: 0.598 0.829 0.053
F: 0.743 0.467 0.040
F: 0.827 0.012 0.823
F: 0.829 0.598 0.553
F: 0.988 0.173 0.677



Order of stability, best first: *one*, *two*



*one*
## SnHF2 (GGA-PBE)

Data for SnHF2 after structural relaxation.

Summary:
As for the symmetry: No. 225. The calculation puts the total moment at 1.0 μB per formula unit. The density of states at the Fermi level comes out at 0.000 states/eV per cell. As for the crystal system: cubic.

abc: 4.207 4.207 4.207
angles: 60.00 60.00 60.00
Fractional coordinates of all 4 atoms:
Sn: 0.000 0.000 0.000
H: 0.500 0.500 0.500
F: 0.250 0.250 0.250
F: 0.750 0.750 0.750



*two*
## SnHF2 (GGA-PBE)

Data for SnHF2 after structural relaxation.

Summary:
As for the symmetry: No. 166. The calculation puts the total moment at 0.0 μB per formula unit. The density of states at the Fermi level comes out at 0.383 states/eV per cell. As for the crystal system: trigonal.

abc: 6.574 6.574 6.574
angles: 28.69 28.69 28.69
Fractional coordinates of all 4 atoms:
Sn: 0.000 0.000 0.000
H: 0.500 0.500 0.500
F: 0.439 0.439 0.439
F: 0.561 0.561 0.561



Order of stability, best first: *two*, *one*